No. 1
First-principles (GGA-PBE) data for a relaxed ZrTaTiMn2 crystal, as listed in Alexandria.

Cell lengths 4.422, 4.605, 4.422 Å; angles 90.00, 90.00, 90.00 degrees
Fractional positions:
1 Zr 0.000 0.000 0.000
2 Mn 0.000 0.000 0.500
3 Mn 0.500 0.000 0.000
4 Ti 0.000 0.500 0.000
5 Ta 0.500 0.500 0.500

Results
Its uncorrected energy is -7.71 eV per atom. The symmetry is P4/mmm (123). As for the energy of formation from the pure elements: 8.1 eV/f.u.


No. 2
First-principles (GGA-PBE) data for a relaxed BaTb2DyO6 crystal, as listed in Alexandria.

Cell lengths 8.694, 5.968, 6.150 Å; angles 88.68, 90.00, 90.00 degrees
Each line ends with the local moment (μB).
Fractional positions:
1 O 0.569 0.221 0.775  0.13
2 Dy 0.250 0.544 0.445  -0.02
3 O 0.917 0.305 0.305  0.12
4 Tb 0.000 0.000 0.500  0.00
5 Tb 0.000 0.500 0.000  -0.01
6 O 0.750 0.598 0.908  0.21
7 O 0.250 0.166 0.524  0.20
8 Ba 0.250 0.990 0.953  0.01
9 Ba 0.750 0.010 0.047  0.01
10 Tb 0.500 0.500 0.000  -0.01
11 O 0.417 0.695 0.695  0.12
12 O 0.750 0.834 0.476  0.20
13 O 0.250 0.402 0.092  0.21
14 O 0.431 0.779 0.225  0.13
15 Dy 0.750 0.456 0.555  -0.02
16 Tb 0.500 0.000 0.500  0.00
17 O 0.931 0.221 0.775  0.13
18 O 0.069 0.779 0.225  0.13
19 O 0.583 0.305 0.305  0.12
20 O 0.083 0.695 0.695  0.12

Results
Its uncorrected energy is -7.60 eV per atom. The calculation puts the formation energy (no corrections) at -3.05 eV per atom. The symmetry is P2_1/m (11).


No. 3
First-principles (GGA-PBE) data for a relaxed Ba2ZrPb2 crystal, as listed in Alexandria.

Cell lengths 4.606, 4.606, 8.659 Å; angles 74.58, 74.58, 90.00 degrees
Each line ends with the local moment (μB).
Fractional positions:
1 Zr 0.000 0.000 0.000  0.07
2 Ba 0.750 0.250 0.500  -0.01
3 Pb 0.412 0.412 0.176  0.00
4 Ba 0.250 0.750 0.500  -0.01
5 Pb 0.588 0.588 0.824  0.00

Results
Its uncorrected energy is -3.63 eV per atom. The symmetry is I4/mmm (139). As for the energy of formation from the pure elements: 1.6 eV/f.u.


No. 4
First-principles (GGA-PBE) data for a relaxed SrGdTlPd crystal, as listed in Alexandria.

Cell lengths 5.361, 5.361, 5.361 Å; angles 60.00, 60.00, 60.00 degrees
Each line ends with the local moment (μB).
Fractional positions:
1 Sr 0.250 0.250 0.250  0.00
2 Gd 0.750 0.750 0.750  -7.01
3 Pd 0.500 0.500 0.500  0.01
4 Tl 0.000 0.000 0.000  -0.01

Results
Its uncorrected energy is -6.25 eV per atom. The symmetry is F-43m (216). As for the energy of formation from the pure elements: -1.7 eV/f.u.


What is the formula in the third record?
Ba2ZrPb2


Look up the uncorrected energy of the first one.
-7.71 eV per atom


Number 2 is which compound?
BaTb2DyO6